# 1
# Sr2Cd2Pd | the Alexandria database | GGA-PBE | optimized geometry
data_Sr2Cd2Pd
_space_group_name_H-M_alt 'P 1'
_space_group_IT_number 1
_cell_length_a 7.557
_cell_length_b 7.557
_cell_length_c 5.153
_cell_angle_alpha 90.00
_cell_angle_beta 90.00
_cell_angle_gamma 90.00
loop_
_space_group_symop_operation_xyz
'x,y,z'
loop_
_atom_site_label
_atom_site_type_symbol
_atom_site_fract_x
_atom_site_fract_y
_atom_site_fract_z
Cd1 Cd 0.135 0.365 0.000
Sr1 Sr 0.180 0.680 0.500
Pd1 Pd 0.500 0.500 0.000
Sr2 Sr 0.820 0.320 0.500
Sr3 Sr 0.680 0.820 0.500
Cd2 Cd 0.365 0.865 0.000
Pd2 Pd 0.000 0.000 0.000
Sr4 Sr 0.320 0.180 0.500
Cd3 Cd 0.865 0.635 0.000
Cd4 Cd 0.635 0.135 0.000
# E above lowest polymorph, eV per atom: 0.1807
# Formation enthalpy at 0 K, eV per formula unit: -1.40
# Magnetic moment, μB per formula unit: 0.0
# SG: P4/mbm, No. 127


# 2
# CsRbNb3 | the Alexandria database | GGA-PBE | optimized geometry
data_CsRbNb3
_space_group_name_H-M_alt 'P 1'
_space_group_IT_number 1
_cell_length_a 5.245
_cell_length_b 5.245
_cell_length_c 5.245
_cell_angle_alpha 90.00
_cell_angle_beta 90.00
_cell_angle_gamma 90.00
loop_
_space_group_symop_operation_xyz
'x,y,z'
loop_
_atom_site_label
_atom_site_type_symbol
_atom_site_fract_x
_atom_site_fract_y
_atom_site_fract_z
Cs1 Cs 0.000 0.000 0.000
Nb1 Nb 0.500 0.000 0.000
Rb1 Rb 0.500 0.500 0.500
Nb2 Nb 0.000 0.500 0.000
Nb3 Nb 0.000 0.000 0.500
# E above lowest polymorph, eV per atom: 0.0000
# Formation enthalpy at 0 K, eV per formula unit: 13.86
# Magnetic moment, μB per formula unit: 1.0
# SG: Pm-3m, No. 221


# 3
# CdCuRu2 | the Alexandria database | GGA-PBE | optimized geometry
data_CdCuRu2
_space_group_name_H-M_alt 'P 1'
_space_group_IT_number 1
_cell_length_a 4.640
_cell_length_b 4.640
_cell_length_c 4.948
_cell_angle_alpha 81.71
_cell_angle_beta 81.71
_cell_angle_gamma 35.10
loop_
_space_group_symop_operation_xyz
'x,y,z'
loop_
_atom_site_label
_atom_site_type_symbol
_atom_site_fract_x
_atom_site_fract_y
_atom_site_fract_z
Ru1 Ru 0.001 0.001 0.973
Cd1 Cd 0.501 0.501 0.475
Ru2 Ru 0.744 0.744 0.799
Cu1 Cu 0.254 0.254 0.253
# Formation enthalpy at 0 K, eV per formula unit: 1.20
# Magnetic moment, μB per formula unit: 0.0
# SG: Cm, No. 8